Entry 1:
This record from Alexandria describes MgScVNi after structural relaxation. The functional is GGA-PBE.

Output
DFT formation energy = 112 meV/atom
calculated total energy = -22.376 eV/cell
density = 4.210 Mg/m³
energy relative to the lowest polymorph listed for this composition = 84 meV/atom
magnetic moment = 1.81 μB/cell

Lattice parameters (Å, degrees): 4.5952 3.0785 5.3638 90.00 111.59 90.00
Space group Pm (No. 6)
One atom of each set of equivalent atoms:
Mg (0.0000, 0.0000, 0.0000) [1 per cell]
Sc (0.2092, 0.5000, 0.5630) [1 per cell]
V (0.5632, 0.5000, 0.1448) [1 per cell]
Ni (0.6503, 0.0000, 0.4939) [1 per cell]


Entry 2:
This record from Alexandria describes CrCoHRh2 after structural relaxation. The functional is GGA-PBE.

Output
calculated total energy = -34.538 eV/cell
density = 9.881 Mg/m³
energy relative to the lowest polymorph listed for this composition = 0 meV/atom
magnetic moment = 1.16 μB/cell

Lattice parameters (Å, degrees): 3.8172 3.8172 3.6646 90.00 90.00 90.00
Space group P4/mmm (No. 123)
One atom of each set of equivalent atoms:
Cr (0.0000, 0.0000, 0.0000) [1 per cell]
Co (0.5000, 0.5000, 0.0000) [1 per cell]
H (0.5000, 0.5000, 0.5000) [1 per cell]
Rh (0.0000, 0.5000, 0.5000) [2 per cell]


Entry 3:
This record from Alexandria describes CaAcGa4 after structural relaxation. The functional is GGA-PBE.

Output
DFT formation energy = -550 meV/atom
calculated total energy = -43.039 eV/cell
density = 6.009 Mg/m³
energy relative to the lowest polymorph listed for this composition = 0 meV/atom
magnetic moment = 0.00 μB/cell

Lattice parameters (Å, degrees): 4.3848 7.4574 9.2272 90.00 90.00 90.00
Space group Immm (No. 71)
One atom of each set of equivalent atoms:
Ca (0.0000, 0.0000, 0.0000) [2 per cell]
Ac (0.0000, 0.0000, 0.5000) [2 per cell]
Ga (0.0000, 0.3311, 0.2449) [8 per cell]